Here is crystalline ReW3 at its relaxed geometry from the Alexandria database. Energies are from GGA-PBEsol.

The energy relative to the lowest polymorph listed for this composition comes out at 16 meV per atom. The calculation puts the total DFT energy (no corrections) at -54.6 eV per formula unit. For the size of the total moment, the calculation gives 0.00 Bohr magnetons per cell. For the formation energy, the calculation gives 0.048 eV/atom.

The space group is Cmcm (No. 63) and the conventional cell measures 6.2739, 8.8679 and 4.4282 Å, with angles of 90.00, 90.00 and 90.00 degrees. The inequivalent atoms are Re at (0.0000, 0.1237, 0.2500), W at (0.0000, 0.3740, 0.7500) and W at (0.2492, 0.3752, 0.2500).

Here is crystalline YSc2Au at its relaxed geometry from the Alexandria database. Energies are from GGA-PBEsol.

The energy relative to the lowest polymorph listed for this composition comes out at 408 meV per atom. The calculation puts the total DFT energy (no corrections) at -24.0 eV per formula unit. For the size of the total moment, the calculation gives 0.98 Bohr magnetons per cell. For the formation energy, the calculation gives -0.023 eV/atom.

The space group is R-3m (No. 166, hexagonal axes) and the conventional cell measures 3.3490, 3.3490 and 30.9097 Å, with angles of 90.00, 90.00 and 120.00 degrees. The inequivalent atoms are Y at (0.0000, 0.0000, 0.0000), Sc at (0.0000, 0.0000, 0.1026) and Au at (0.0000, 0.0000, 0.5000).

Here is crystalline Si2MoP at its relaxed geometry from the Alexandria database. Energies are from GGA-PBEsol.

The calculation puts the total DFT energy (no corrections) at -28.1 eV per formula unit. For the size of the total moment, the calculation gives 0.00 Bohr magnetons per cell. The calculation puts the energy relative to the elements, uncorrected at 87 kJ/mol of formula units.

The space group is I-4m2 (No. 119) and the conventional cell measures 3.8568, 3.8568 and 7.2884 Å, with angles of 90.00, 90.00 and 90.00 degrees. The inequivalent atoms are Si at (0.0000, 0.0000, 0.0000), Si at (0.0000, 0.5000, 0.2500), Mo at (0.0000, 0.0000, 0.5000) and P at (0.0000, 0.5000, 0.7500).

Here is crystalline CsK2Rb at its relaxed geometry from the Alexandria database. Energies are from GGA-PBEsol.

The energy relative to the lowest polymorph listed for this composition comes out at 61 meV per atom. The calculation puts the total DFT energy (no corrections) at -4.0 eV per formula unit. For the size of the total moment, the calculation gives 0.00 Bohr magnetons per cell. For the formation energy, the calculation gives 0.067 eV/atom.

The space group is I-42d (No. 122) and the conventional cell measures 12.1750, 12.1750 and 9.2337 Å, with angles of 90.00, 90.00 and 90.00 degrees. The inequivalent atoms are Cs at (0.0000, 0.0000, 0.0000), K at (0.2384, 0.2500, 0.6250) and Rb at (0.0000, 0.0000, 0.5000).

Here is crystalline Zr5Te4P2 at its relaxed geometry from the Alexandria database. Energies are from GGA-PBEsol.

The calculation puts the total DFT energy (no corrections) at -84.0 eV per formula unit. For the size of the total moment, the calculation gives 0.00 Bohr magnetons per cell. The calculation puts the energy relative to the elements, uncorrected at -1245 kJ/mol of formula units.

The space group is R-3m (No. 166, hexagonal axes) and the conventional cell measures 3.7619, 3.7619 and 60.8236 Å, with angles of 90.00, 90.00 and 120.00 degrees. The inequivalent atoms are Zr at (0.0000, 0.0000, 0.0000), Zr at (0.0000, 0.0000, 0.0645), Zr at (0.0000, 0.0000, 0.4434), Te at (0.0000, 0.0000, 0.1415), Te at (0.0000, 0.0000, 0.3646) and P at (0.0000, 0.0000, 0.2463).

Here is crystalline Sc2ReAg at its relaxed geometry from the Alexandria database. Energies are from GGA-PBEsol.

The calculation puts the total DFT energy (no corrections) at -28.5 eV per formula unit. For the size of the total moment, the calculation gives 0.00 Bohr magnetons per cell. For the formation energy, the calculation gives 0.341 eV/atom.

The space group is R3m (No. 160, hexagonal axes) and the conventional cell measures 2.8804, 2.8804 and 29.8463 Å, with angles of 90.00, 90.00 and 120.00 degrees. The inequivalent atoms are Sc at (0.0000, 0.0000, 0.0000), Sc at (0.0000, 0.0000, 0.2412), Re at (0.0000, 0.0000, 0.4951) and Ag at (0.0000, 0.0000, 0.7494).